PBE HoTh3Bi4, relaxed; energy relative to the elements = -0.62 eV per atom
1.0
4.561 0.000 0.000
0.000 7.911 -0.071
0.000 -2.562 7.485
Bi Th Ho
4 3 1
direct
0.000 0.243 0.243 Bi
0.000 0.757 0.757 Bi
0.500 0.754 0.246 Bi
0.500 0.246 0.754 Bi
0.000 0.500 0.000 Th
0.000 0.000 0.500 Th
0.500 0.500 0.500 Th
0.500 0.000 0.000 Ho



PBE DyThZnOs, relaxed; energy relative to the elements = -0.25 eV per atom
1.0
5.020 0.000 0.000
2.510 4.347 0.000
2.510 1.449 4.099
Zn Dy Os Th
1 1 1 1
direct
0.000 0.000 0.000 Zn
0.750 0.750 0.750 Dy
0.500 0.500 0.500 Os
0.250 0.250 0.250 Th



PBE MgAg4, relaxed; energy relative to the elements = 0.36 eV per atom
1.0
-3.048 3.048 3.048
3.048 -3.048 3.048
3.048 3.048 -3.048
Ag Mg
4 1
direct
0.000 0.500 0.000 Ag
0.500 0.500 0.500 Ag
0.000 0.000 0.500 Ag
0.500 0.000 0.000 Ag
0.000 0.000 0.000 Mg



PBE KBe2Hg, relaxed; energy relative to the elements = 0.74 eV per atom
1.0
-1.264 -1.927 2.586
3.130 -1.405 0.482
1.658 5.332 4.784
Be Hg K
2 1 1
direct
0.000 0.000 0.101 Be
0.000 0.000 0.399 Be
0.500 0.500 0.250 Hg
0.500 0.500 0.750 K



PBE LiLuBiRh, relaxed; energy relative to the elements = -0.64 eV per atom
1.0
4.749 0.000 0.000
2.374 4.112 0.000
2.374 1.371 3.877
Rh Bi Lu Li
1 1 1 1
direct
0.500 0.500 0.500 Rh
0.250 0.250 0.250 Bi
0.750 0.750 0.750 Lu
0.000 0.000 0.000 Li



PBE TlZnOs2, relaxed; excess energy over the best structure of this formula in the dataset = 0.509 eV per atom; energy relative to the elements = 0.86 eV per atom
1.0
-3.313 1.570 3.116
0.960 -2.247 4.144
2.939 2.521 -2.855
Os Tl Zn
2 1 1
direct
0.250 0.750 0.500 Os
0.000 0.000 0.000 Os
0.500 0.500 0.000 Tl
0.750 0.250 0.500 Zn



PBE GeSbI2Br, relaxed; excess energy over the best structure of this formula in the dataset = 0.000 eV per atom; formation energy from raw total energies = 0.29 eV/atom
1.0
-2.435 4.879 -1.099
-3.452 -2.524 -3.557
-3.725 -0.900 4.254
Ge I Br Sb
1 2 1 1
direct
0.000 0.000 0.000 Ge
0.500 0.000 0.000 I
0.000 0.500 0.000 I
0.500 0.500 0.500 Br
0.000 0.000 0.500 Sb



PBE Ce3MgRu2, relaxed; energy relative to the elements = -0.21 eV per atom
1.0
-0.649 -3.088 -2.626
8.495 -2.621 0.981
-4.174 -2.427 7.095
Ce Mg Ru
6 2 4
direct
0.764 0.801 0.528 Ce
0.236 0.199 0.472 Ce
0.386 0.608 0.771 Ce
0.614 0.392 0.229 Ce
0.925 0.293 0.849 Ce
0.075 0.707 0.151 Ce
0.584 0.993 0.167 Mg
0.416 0.007 0.833 Mg
0.793 0.418 0.585 Ru
0.207 0.582 0.415 Ru
0.969 0.830 0.939 Ru
0.031 0.170 0.061 Ru



PBE LaYIn2, relaxed; energy relative to the elements = -0.48 eV per atom
1.0
-0.376 4.448 3.164
-4.397 -2.126 2.466
2.287 -1.678 2.631
In La Y
2 1 1
direct
0.000 0.000 0.000 In
0.500 0.500 0.000 In
0.500 0.000 0.500 La
0.000 0.500 0.500 Y



PBE Ce2PmY, relaxed; excess energy over the best structure of this formula in the dataset = 0.017 eV per atom; energy relative to the elements = 0.12 eV per atom
1.0
3.491 0.000 0.000
0.000 3.491 0.000
0.000 0.000 10.287
Ce Y Pm
2 1 1
direct
0.000 0.000 0.251 Ce
0.000 0.000 0.749 Ce
0.500 0.500 0.500 Y
0.500 0.500 0.000 Pm



PBE HoMgNi, relaxed; energy relative to the elements = -0.32 eV per atom
1.0
-0.032 1.498 -3.578
-7.414 0.684 0.352
1.298 11.577 4.836
Ni Ho Mg
6 6 6
direct
0.500 0.940 0.908 Ni
0.500 0.940 0.592 Ni
0.500 0.060 0.092 Ni
0.500 0.060 0.408 Ni
0.000 0.435 0.750 Ni
0.000 0.565 0.250 Ni
0.000 0.781 0.455 Ho
0.000 0.149 0.250 Ho
0.000 0.219 0.545 Ho
0.000 0.219 0.955 Ho
0.000 0.851 0.750 Ho
0.000 0.781 0.045 Ho
0.500 0.564 0.874 Mg
0.500 0.564 0.626 Mg
0.500 0.436 0.126 Mg
0.500 0.436 0.374 Mg
0.500 0.802 0.250 Mg
0.500 0.198 0.750 Mg



PBE Ho2MgSc, relaxed; excess energy over the best structure of this formula in the dataset = 0.051 eV per atom; energy relative to the elements = 0.04 eV per atom
1.0
3.397 0.000 0.000
1.699 2.942 0.000
1.699 0.981 11.147
Sc Mg Ho
1 1 2
direct
0.000 0.000 0.000 Sc
0.500 0.500 0.500 Mg
0.252 0.252 0.244 Ho
0.748 0.748 0.756 Ho



So what do the calculations give for M_tot? Going down the list: 0.002; 0.000; 0.000; 0.002; 0.000; 0.000; 0.002; 2.094; 0.000; 1.609; 0.000; 0.000 Bohr magnetons per cell.